1.
# ZnCdAg2

A geometry-optimized ZnCdAg2 structure (PBE, Alexandria).

Output
Symmetry   No. 139
Volume   71.4 Å³/f.u.
E_form   -0.0157 eV per atom
Theoretical density   9.16 g/cm3

Lattice parameters (Å, degrees): 4.8233 4.8233 4.8233 125.71 125.71 80.36
Sites, in units of the cell vectors:
Zn1 0.7500 0.2500 0.5000
Ag1 0.0000 0.0000 0.0000
Ag2 0.5000 0.5000 0.0000
Cd1 0.2500 0.7500 0.5000

2.
# Zn2CdAg

A geometry-optimized Zn2CdAg structure (PBE, Alexandria).

Output
Symmetry   No. 8
Volume   69.8 Å³/f.u.
E_form   0.0377 eV per atom
Theoretical density   8.36 g/cm3

Lattice parameters (Å, degrees): 5.0325 5.0325 5.0441 78.69 78.69 33.92
Sites, in units of the cell vectors:
Zn1 0.0101 0.0101 0.9895
Zn2 0.7438 0.7438 0.7496
Ag1 0.4920 0.4920 0.5185
Cd1 0.2540 0.2540 0.2425

3.
# Zn2CdAg

A geometry-optimized Zn2CdAg structure (PBE, Alexandria).

Output
Symmetry   No. 10
Volume   70.1 Å³/f.u.
E_form   0.0573 eV per atom
Theoretical density   8.32 g/cm3

Lattice parameters (Å, degrees): 4.4755 2.8538 5.6470 76.23 90.00 90.00
Sites, in units of the cell vectors:
Ag1 0.5000 0.2500 0.2500
Cd1 0.5000 0.7500 0.7500
Zn1 0.0000 0.0261 0.0134
Zn2 0.0000 0.4739 0.4866

4.
# Zn2CdAg

A geometry-optimized Zn2CdAg structure (PBE, Alexandria).

Output
Symmetry   No. 71
Volume   70.4 Å³/f.u.
E_form   0.0526 eV per atom
Theoretical density   8.28 g/cm3

Lattice parameters (Å, degrees): 5.3883 5.3883 5.3883 145.04 127.29 64.83
Sites, in units of the cell vectors:
Zn1 0.9912 0.9912 0.0000
Zn2 0.5088 0.5088 0.0000
Ag1 0.7500 0.2500 0.5000
Cd1 0.2500 0.7500 0.5000

5.
# Zn2Cd3Ag3

A geometry-optimized Zn2Cd3Ag3 structure (PBE, Alexandria).

Output
Symmetry   No. 189
Volume   148.6 Å³/f.u.
ΔE to the lowest computed polymorph   0.00 eV/f.u.
E_form   -0.0372 eV per atom
Theoretical density   8.85 g/cm3

Lattice parameters (Å, degrees): 2.9655 7.6068 7.6068 120.00 90.00 90.00
Sites, in units of the cell vectors:
Zn1 0.0000 0.3333 0.6667
Zn2 0.0000 0.6667 0.3333
Cd1 0.0000 0.7527 0.7527
Cd2 0.0000 0.2473 0.0000
Cd3 0.0000 0.0000 0.2473
Ag1 0.5000 0.3877 0.3877
Ag2 0.5000 0.6123 0.0000
Ag3 0.5000 0.0000 0.6123

6.
# ZnCd6Ag5

A geometry-optimized ZnCd6Ag5 structure (PBE, Alexandria).

Output
Symmetry   No. 12
Volume   230.9 Å³/f.u.
E_form   -0.0317 eV per atom
Theoretical density   9.20 g/cm3

Lattice parameters (Å, degrees): 4.4695 8.0738 8.0738 113.07 106.25 106.25
Sites, in units of the cell vectors:
Zn1 0.0000 0.0000 0.0000
Ag1 0.5000 0.1688 0.8312
Ag2 0.0000 0.3350 0.6650
Ag3 0.5000 0.5000 0.5000
Ag4 0.0000 0.6650 0.3350
Ag5 0.5000 0.8312 0.1688
Cd1 0.2473 0.0818 0.4131
Cd2 0.7527 0.5869 0.9182
Cd3 0.7449 0.2452 0.2452
Cd4 0.2551 0.7548 0.7548
Cd5 0.2473 0.4131 0.0818
Cd6 0.7527 0.9182 0.5869

7.
# Zn2CdAg

A geometry-optimized Zn2CdAg structure (PBE, Alexandria).

Output
Symmetry   No. 25
Volume   69.9 Å³/f.u.
E_form   0.0195 eV per atom
Theoretical density   8.34 g/cm3

Lattice parameters (Å, degrees): 3.0717 3.9011 5.8336 90.00 90.00 90.00
Sites, in units of the cell vectors:
Zn1 0.0000 0.0000 0.0157
Zn2 0.5000 0.5000 0.2465
Ag1 0.0000 0.0000 0.4821
Cd1 0.5000 0.5000 0.7558

8.
# Zn2Cd12Ag5

A geometry-optimized Zn2Cd12Ag5 structure (PBE, Alexandria).

Output
Symmetry   No. 12
Volume   435.9 Å³/f.u.
ΔE to the lowest computed polymorph   1.00 eV/f.u.
E_form   0.0766 eV per atom
Theoretical density   7.69 g/cm3

Lattice parameters (Å, degrees): 6.2840 8.0633 9.3544 92.79 90.00 112.93
Sites, in units of the cell vectors:
Zn1 0.7043 0.0000 0.0000
Zn2 0.2957 0.0000 0.0000
Cd1 0.0238 0.0475 0.2109
Cd2 0.0536 0.6123 0.8577
Cd3 0.5586 0.6123 0.8577
Cd4 0.1093 0.7209 0.3675
Cd5 0.6117 0.7209 0.3675
Cd6 0.4714 0.9427 0.6924
Cd7 0.5286 0.0573 0.3076
Cd8 0.8907 0.2791 0.6325
Cd9 0.3883 0.2791 0.6325
Cd10 0.9464 0.3877 0.1423
Cd11 0.4414 0.3877 0.1423
Cd12 0.9762 0.9525 0.7891
Ag1 0.2923 0.5846 0.5917
Ag2 0.3577 0.7154 0.1096
Ag3 0.0000 0.0000 0.5000
Ag4 0.6423 0.2846 0.8904
Ag5 0.7077 0.4154 0.4083

9.
# Zn2CdAg

A geometry-optimized Zn2CdAg structure (PBE, Alexandria).

Output
Symmetry   No. 160
Volume   77.3 Å³/f.u.
E_form   0.0775 eV per atom
Theoretical density   7.54 g/cm3

Lattice parameters (Å, degrees): 4.4315 4.4315 5.2151 64.86 64.86 60.00
Sites, in units of the cell vectors:
Zn1 0.0625 0.0625 0.8124
Zn2 0.2665 0.2665 0.2005
Cd1 0.4840 0.4840 0.5481
Ag1 0.6870 0.6870 0.9390

10.
# Zn6CdAg5

A geometry-optimized Zn6CdAg5 structure (PBE, Alexandria).

Output
Symmetry   No. 12
Volume   198.2 Å³/f.u.
E_form   -0.0147 eV per atom
Theoretical density   8.75 g/cm3

Lattice parameters (Å, degrees): 4.2553 7.6781 7.6781 113.26 106.30 106.30
Sites, in units of the cell vectors:
Zn1 0.2553 0.0851 0.4264
Zn2 0.7447 0.5736 0.9149
Zn3 0.7613 0.2617 0.2617
Zn4 0.2387 0.7383 0.7383
Zn5 0.2553 0.4264 0.0851
Zn6 0.7447 0.9149 0.5736
Ag1 0.5000 0.1636 0.8364
Ag2 0.0000 0.3318 0.6682
Ag3 0.5000 0.5000 0.5000
Ag4 0.0000 0.6682 0.3318
Ag5 0.5000 0.8364 0.1636
Cd1 0.0000 0.0000 0.0000

11.
# ZnCd2Ag12

A geometry-optimized ZnCd2Ag12 structure (PBE, Alexandria).

Output
Symmetry   No. 125
Volume   301.8 Å³/f.u.
E_form   0.1485 eV per atom
Theoretical density   8.72 g/cm3

Lattice parameters (Å, degrees): 5.5085 5.5085 19.8905 90.00 90.00 90.00
Sites, in units of the cell vectors:
Zn1 0.5000 0.0000 0.0000
Zn2 0.0000 0.5000 0.0000
Cd1 0.5000 0.0000 0.2682
Cd2 0.0000 0.5000 0.2682
Cd3 0.0000 0.5000 0.7318
Cd4 0.5000 0.0000 0.7318
Ag1 0.5000 0.5000 0.7990
Ag2 0.0000 0.0000 0.7990
Ag3 0.7498 0.7502 0.9046
Ag4 0.2498 0.7498 0.9046
Ag5 0.0000 0.0000 0.3360
Ag6 0.2502 0.7502 0.0954
Ag7 0.8230 0.3230 0.5637
Ag8 0.5000 0.5000 0.3360
Ag9 0.2502 0.2498 0.9046
Ag10 0.7502 0.7498 0.0954
Ag11 0.3230 0.1770 0.5637
Ag12 0.6770 0.1770 0.4363
Ag13 0.0000 0.0000 0.6640
Ag14 0.1770 0.3230 0.4363
Ag15 0.2498 0.2502 0.0954
Ag16 0.8230 0.6770 0.4363
Ag17 0.6770 0.8230 0.5637
Ag18 0.0000 0.0000 0.2010
Ag19 0.1770 0.6770 0.5637
Ag20 0.5000 0.5000 0.6640
Ag21 0.7502 0.2502 0.9046
Ag22 0.5000 0.5000 0.2010
Ag23 0.3230 0.8230 0.4363
Ag24 0.7498 0.2498 0.0954

12.
# ZnCd6Ag2

A geometry-optimized ZnCd6Ag2 structure (PBE, Alexandria).

Output
Symmetry   No. 189
Volume   181.2 Å³/f.u.
ΔE to the lowest computed polymorph   0.00 eV/f.u.
E_form   0.0010 eV per atom
Theoretical density   8.76 g/cm3

Lattice parameters (Å, degrees): 3.0541 8.2748 8.2773 119.99 90.00 90.00
Sites, in units of the cell vectors:
Zn1 0.5000 0.0001 0.0000
Cd1 0.5000 0.6245 0.0000
Cd2 0.5000 0.3756 0.3757
Cd3 0.5000 0.9999 0.6243
Cd4 0.0000 0.2887 0.0000
Cd5 0.0000 0.7113 0.7113
Cd6 0.0000 0.0000 0.2887
Ag1 0.0000 0.3333 0.6667
Ag2 0.0000 0.6666 0.3333